[1]
Material: Ti3SnHg
Method: DFT, PBE-GGA
State: optimized geometry

Output
E_tot, eV/atom: -5.5111
Space-group type: Cmcm
Volume, Å³/cell: 200.5
Total moment, μB per formula unit: 0.10
Fermi-level density of states, states/eV per cell: 12.257

Geometry as extended XYZ:
```
10
Lattice="5.120 0.000 0.000 0.000 4.720 -2.504 0.000 1.075 7.726" Properties=species:S:1:pos:R:3 pbc="T T T"
Hg 1.280 2.751 -0.515
Hg 3.840 3.044 5.737
Ti 3.840 2.180 1.357
Ti 1.280 1.173 5.160
Ti 1.280 3.615 3.865
Ti 2.560 0.000 0.000
Ti 0.000 0.000 0.000
Ti 3.840 4.621 0.062
Sn 1.280 1.218 2.296
Sn 3.840 4.576 2.926
```

---

[2]
Material: PaMnBi2
Method: DFT, PBE-GGA
State: optimized geometry

Output
E_tot, eV/atom: -6.3912
Space-group type: R-3m
Volume, Å³/cell: 103.7
Total moment, μB per formula unit: 3.95
Fermi-level density of states, states/eV per cell: 5.450

Geometry as extended XYZ:
```
4
Lattice="-0.746 -4.890 -0.222 2.316 -2.704 -3.442 4.257 -3.240 1.848" Properties=species:S:1:pos:R:3 pbc="T T T"
Bi 4.198 -8.093 -1.503
Bi 1.629 -2.741 -0.312
Pa 0.000 0.000 0.000
Mn 2.913 -5.417 -0.908
```

---

[3]
Material: MgAg2Ru
Method: DFT, PBE-GGA
State: optimized geometry

Output
E_tot, eV/atom: -3.8909
Space-group type: Imm2
Volume, Å³/cell: 67.2
Total moment, μB per formula unit: 0.62
Fermi-level density of states, states/eV per cell: 3.076

Geometry as extended XYZ:
```
4
Lattice="5.515 0.011 0.018 2.627 4.849 -0.018 -3.430 -3.505 2.524" Properties=species:S:1:pos:R:3 pbc="T T T"
Ag 0.012 0.007 0.000
Ag 3.051 -0.548 1.271
Mg 4.049 2.416 0.000
Ru 1.672 1.910 1.253
```

---

[4]
Material: PtSeS2Cl
Method: DFT, PBE-GGA
State: optimized geometry

Output
Formation energy without anion corrections, kJ/mol of formula units: 505
Space-group type: P4/mmm
Volume, Å³/cell: 109.6
Total moment, μB per formula unit: 0.53
Fermi-level density of states, states/eV per cell: 5.173

Geometry as extended XYZ:
```
5
Lattice="-0.505 1.736 -4.508 0.842 -4.431 -1.801 -4.551 -0.927 0.153" Properties=species:S:1:pos:R:3 pbc="T T T"
S 0.421 -2.216 -0.901
S -0.252 0.868 -2.254
Se 0.000 0.000 0.000
Cl -2.276 -0.463 0.076
Pt -2.107 -1.811 -3.078
```

---

[5]
Material: EuErZnIn
Method: DFT, PBE-GGA
State: optimized geometry

Output
E_tot, eV/atom: -5.0584
Space-group type: F-43m
Volume, Å³/cell: 105.6
Total moment, μB per formula unit: 7.27
Fermi-level density of states, states/eV per cell: 6.508

Geometry as extended XYZ:
```
4
Lattice="-0.274 -2.662 -4.581 4.379 -0.748 -2.899 2.131 -4.843 -0.385" Properties=species:S:1:pos:R:3 pbc="T T T"
Eu 4.677 -6.189 -5.899
Zn 3.118 -4.126 -3.933
In 0.000 0.000 0.000
Er 1.559 -2.063 -1.966
```

---

[6]
Material: Ba3Ac2In4
Method: DFT, PBE-GGA
State: optimized geometry

Output
E_tot, eV/atom: -3.0630
Space-group type: C2/m
Volume, Å³/cell: 350.2
Total moment, μB per formula unit: 0.00
Fermi-level density of states, states/eV per cell: 7.808

Geometry as extended XYZ:
```
9
Lattice="-0.926 -2.812 4.629 -2.558 -6.721 -1.329 6.707 -8.849 -0.763" Properties=species:S:1:pos:R:3 pbc="T T T"
In 1.610 -6.395 -0.295
In -0.756 -3.893 0.748
In 3.979 -14.488 1.788
In 1.612 -11.987 2.831
Ac 0.802 -6.116 2.973
Ac 2.420 -12.265 -0.436
Ba -0.161 -9.390 0.791
Ba 3.384 -8.991 1.745
Ba 0.000 0.000 0.000
```

---

[7]
Material: ScV2HIr
Method: DFT, PBE-GGA
State: optimized geometry

Output
E_tot, eV/atom: -7.6162
Space-group type: P4/mmm
Volume, Å³/cell: 63.8
Total moment, μB per formula unit: 0.00
Fermi-level density of states, states/eV per cell: 5.210

Geometry as extended XYZ:
```
5
Lattice="3.748 0.000 0.000 0.000 4.540 0.000 0.000 0.000 3.748" Properties=species:S:1:pos:R:3 pbc="T T T"
V 1.874 0.000 0.000
V 0.000 0.000 1.874
Ir 1.874 2.270 1.874
H 0.000 0.000 0.000
Sc 0.000 2.270 0.000
```

---

[8]
Material: YTiSi2
Method: DFT, PBE-GGA
State: optimized geometry

Output
Formation energy without anion corrections, kJ/mol of formula units: -90
Space-group type: Fm-3m
Volume, Å³/cell: 74.6
Total moment, μB per formula unit: 1.98
Fermi-level density of states, states/eV per cell: 2.832

Geometry as extended XYZ:
```
4
Lattice="3.550 -2.432 -1.951 -0.232 -4.711 -0.270 -0.597 -2.099 -4.190" Properties=species:S:1:pos:R:3 pbc="T T T"
Ti 0.000 0.000 0.000
Si 2.040 -6.932 -4.809
Si 0.680 -2.311 -1.603
Y 1.360 -4.621 -3.206
```